# KHg2Rh

KHg2Rh after structural relaxation (PBE-GGA, Alexandria).

As for the energy above the lowest structure with this stoichiometry: 0.293 eV per atom. For the final energy, the calculation gives -7.794 eV/f.u. The calculated volume is 22.7 Å³/atom. As for the formation energy: 0.315 eV/atom.

It has space group I-4m2 (No. 119), with a = 4.3590 Å, b = 4.3590 Å, c = 9.5426 Å, α = 90.00°, β = 90.00° and γ = 90.00°. The distinct sites, in fractional coordinates, are K at (0.0000, 0.0000, 0.0000), Hg at (0.0000, 0.0000, 0.5000), Hg at (0.0000, 0.5000, 0.2500) and Rh at (0.0000, 0.5000, 0.7500).

=====

# KHg2Rh

KHg2Rh after structural relaxation (PBE-GGA, Alexandria).

As for the energy above the lowest structure with this stoichiometry: 0.380 eV per atom. For the final energy, the calculation gives -7.445 eV/f.u. The calculated volume is 23.0 Å³/atom. As for the formation energy: 0.402 eV/atom.

It has space group F-43m (No. 216), with a = 7.1628 Å, b = 7.1628 Å, c = 7.1628 Å, α = 90.00°, β = 90.00° and γ = 90.00°. The distinct sites, in fractional coordinates, are K at (0.0000, 0.0000, 0.0000), Hg at (0.0000, 0.0000, 0.5000), Hg at (0.2500, 0.2500, 0.2500) and Rh at (0.2500, 0.2500, 0.7500).